Below is a relaxed NaTb4YSe8 crystal, with properties calculated at the PBE level.

abc: 8.4914 8.4914 20.7832
angles: 90.00 90.00 120.00
Space group R3m (No. 160, hexagonal axes)
One atom of each set of equivalent atoms:
Na 0.0000 0.0000 0.0000 [3 per cell]
Tb 0.0000 0.0000 0.7499 [3 per cell]
Tb 0.0129 0.5064 0.8765 [9 per cell]
Y 0.0000 0.0000 0.3699 [3 per cell]
Se 0.0000 0.0000 0.1348 [3 per cell]
Se 0.0000 0.0000 0.6168 [3 per cell]
Se 0.0223 0.5112 0.1273 [9 per cell]
Se 0.1799 0.3597 0.9551 [9 per cell]

Values from the calculation:
DOS(E_F) = 0.000 states/eV/atom
Spin magnetization = 0.000 μB per atom
DFT total energy = -5.65 eV per atom
ΔE_f (raw) = -1775 meV/atom